Computed, not measured: an optimized crystal structure of SrMn4O8 at the PBE+U level of DFT.

abc: 5.9980 5.9980 18.0384
angles: 90.00 90.00 120.00
Space group R-3m (No. 166, hexagonal axes)
Asymmetric unit:
Sr 0.0000 0.0000 0.0000
Mn 0.0000 0.0000 0.5000
Mn 0.0000 0.5000 0.5000
O 0.0000 0.0000 0.2222
O 0.0251 0.5126 0.7770

## Properties
Uncorrected energy   -7.1790 eV/atom